*A*
Entry from Alexandria via LeMat-Bulk: FeCo2Ir after structural relaxation (GGA-PBEsol).

Properties
The magnetization comes out at 6.916 Bohr magnetons per cell.

Geometry as POSCAR:
```
FeCo2Ir
1.0
2.8048 0.0000 0.0000
0.0000 4.1353 0.0000
-1.4024 -2.0676 4.0685
Ir Co Fe
1 2 1
Direct
0.0000 0.5000 0.0000 Ir
0.7651 0.7651 0.5301 Co
0.2349 0.2349 0.4699 Co
0.5000 0.0000 0.0000 Fe
```

---

*B*
Entry from Alexandria via LeMat-Bulk: FeCo2Ir after structural relaxation (GGA-PBEsol).

Properties
The magnetization comes out at 7.115 Bohr magnetons per cell.

Geometry as POSCAR:
```
FeCo2Ir
1.0
-2.2968 2.2121 2.5273
-4.0154 -0.6324 0.1798
-1.6415 -1.7292 3.2971
Co Fe Ir
2 1 1
Direct
0.0000 0.0000 0.0000 Co
0.7500 0.7500 0.7500 Co
0.5000 0.5000 0.5000 Fe
0.2500 0.2500 0.2500 Ir
```

---

Of them, the most stable is *A* and the least stable is *B*.

---

*A*
Entry from Alexandria via LeMat-Bulk: Li2FeCo after structural relaxation (GGA-PBEsol).

Properties
The magnetization comes out at 3.604 Bohr magnetons per cell.

Geometry as POSCAR:
```
Li2FeCo
1.0
-1.6762 0.8927 1.3945
0.0340 -4.1945 0.7358
3.3792 0.9148 3.4764
Co Fe Li
1 1 2
Direct
0.4989 0.9978 0.4673 Co
0.7522 0.5045 0.2850 Fe
0.0019 0.0038 0.9958 Li
0.2469 0.4938 0.7520 Li
```

---

*B*
Entry from Alexandria via LeMat-Bulk: Li2FeCo after structural relaxation (GGA-PBEsol).

Properties
The magnetization comes out at 3.359 Bohr magnetons per cell.

Geometry as POSCAR:
```
Li2FeCo
1.0
2.5037 0.0000 0.0000
1.2518 2.1682 0.0000
1.2518 0.7227 8.8558
Co Fe Li
1 1 2
Direct
0.5047 0.5047 0.4860 Co
0.2441 0.2441 0.2678 Fe
0.9929 0.9929 0.0212 Li
0.7584 0.7584 0.7249 Li
```

---

Of them, the most stable is *B* and the least stable is *A*.

---

*A*
Entry from Alexandria via LeMat-Bulk: LiFeCo2 after structural relaxation (GGA-PBEsol).

Properties
The magnetization comes out at 5.086 Bohr magnetons per cell.

Geometry as POSCAR:
```
LiFeCo2
1.0
2.6865 0.0000 0.0000
0.0000 3.9538 0.0000
0.0000 0.0000 3.9538
Co Fe Li
2 1 1
Direct
0.0000 0.0000 0.5000 Co
0.0000 0.5000 0.0000 Co
0.5000 0.5000 0.5000 Fe
0.5000 0.0000 0.0000 Li
```

---

*B*
Entry from Alexandria via LeMat-Bulk: LiFeCo2 after structural relaxation (GGA-PBEsol).

Properties
The magnetization comes out at 5.544 Bohr magnetons per cell.

Geometry as POSCAR:
```
LiFeCo2
1.0
2.7112 0.0000 0.0000
0.0000 3.9326 0.0000
0.0000 0.0000 3.9862
Co Fe Li
2 1 1
Direct
0.0000 0.0000 0.0000 Co
0.5000 0.0000 0.5000 Co
0.5000 0.5000 0.0000 Fe
0.0000 0.5000 0.5000 Li
```

---

Of them, the most stable is *A* and the least stable is *B*.

---

*A*
Entry from Alexandria via LeMat-Bulk: Li2FeCoO4 after structural relaxation (GGA-PBEsol).

Properties
The magnetization comes out at 0.999 Bohr magnetons per cell.

Geometry as POSCAR:
```
Li2FeCoO4
1.0
-2.0206 -1.6232 -1.0777
-0.8925 -2.2547 1.4138
-7.3778 3.8854 4.3254
Li Fe Co O
2 1 1 4
Direct
0.7505 0.7505 0.7484 Li
0.2495 0.2495 0.2516 Li
0.0000 0.0000 0.0000 Fe
0.5000 0.5000 0.5000 Co
0.3706 0.3706 0.8881 O
0.8694 0.8694 0.3918 O
0.6294 0.6294 0.1119 O
0.1306 0.1306 0.6082 O
```

---

*B*
Entry from Alexandria via LeMat-Bulk: Li2FeCoO4 after structural relaxation (GGA-PBEsol).

Properties
The magnetization comes out at 3.975 Bohr magnetons per cell.

Geometry as POSCAR:
```
Li2FeCoO4
1.0
3.9635 0.0000 0.0000
0.0000 3.9635 0.0000
-1.9818 -1.9818 4.0882
Co Fe O Li
1 1 4 2
Direct
0.2500 0.7500 0.5000 Co
0.0000 0.0000 0.0000 Fe
0.4833 0.9833 0.9667 O
0.7705 0.7705 0.5410 O
0.0167 0.5167 0.0333 O
0.2295 0.2295 0.4590 O
0.7500 0.2500 0.5000 Li
0.5000 0.5000 0.0000 Li
```

---

Of them, the most stable is *A* and the least stable is *B*.

---

*A*
Entry from Alexandria via LeMat-Bulk: Li2FeCo3O8 after structural relaxation (GGA-PBEsol).

Properties
The magnetization comes out at 2.966 Bohr magnetons per cell.

Geometry as POSCAR:
```
Li2FeCo3O8
1.0
-4.3487 2.3807 -2.6341
-0.1830 0.0776 -5.6105
-3.7439 -3.2415 -2.7315
Li Fe Co O
2 1 3 8
Direct
0.8778 0.8778 0.3664 Li
0.5025 0.5025 0.4924 Li
0.1183 0.1183 0.6451 Fe
0.9921 0.5016 0.0047 Co
0.5016 0.9921 0.0047 Co
0.5016 0.5016 0.0047 Co
0.7363 0.7363 0.7911 O
0.7500 0.7500 0.2104 O
0.7500 0.2897 0.2104 O
0.2897 0.7500 0.2104 O
0.7199 0.2504 0.7794 O
0.2504 0.7199 0.7794 O
0.2504 0.2504 0.7794 O
0.2595 0.2595 0.2214 O
```

---

*B*
Entry from Alexandria via LeMat-Bulk: Li2FeCo3O8 after structural relaxation (GGA-PBEsol).

Properties
The magnetization comes out at 3.083 Bohr magnetons per cell.

Geometry as POSCAR:
```
Li2FeCo3O8
1.0
-4.0164 -2.8905 2.6844
0.0650 -5.6289 -0.0607
1.2230 -2.8513 4.6626
Li Fe Co O
2 1 3 8
Direct
0.8746 0.8746 0.3762 Li
0.1254 0.1254 0.6238 Li
0.5000 0.5000 0.5000 Fe
0.5000 0.0000 0.0000 Co
0.0000 0.5000 0.0000 Co
0.5000 0.5000 0.0000 Co
0.2646 0.2646 0.2062 O
0.7354 0.7354 0.7938 O
0.2916 0.7351 0.2381 O
0.7351 0.2916 0.2381 O
0.7351 0.7351 0.2381 O
0.2649 0.2649 0.7619 O
0.2649 0.7084 0.7619 O
0.7084 0.2649 0.7619 O
```

---

Of them, the most stable is *B* and the least stable is *A*.

---

*A*
Entry from Alexandria via LeMat-Bulk: Li2FeCo3O8 after structural relaxation (GGA-PBEsol).

Properties
The magnetization comes out at 3.069 Bohr magnetons per cell.

Geometry as POSCAR:
```
Li2FeCo3O8
1.0
5.5999 0.0000 0.0000
2.8000 4.7806 -0.0001
2.8000 1.5578 4.7463
Li Fe Co O
2 1 3 8
Direct
0.5000 0.5000 0.5000 Li
0.0000 0.5000 0.5000 Li
0.0000 0.0000 0.0000 Fe
0.5000 0.0000 0.0000 Co
0.5000 0.5000 0.0000 Co
0.0000 0.5000 0.0000 Co
0.2618 0.7644 0.2093 O
0.7359 0.7279 0.8003 O
0.7645 0.7644 0.2093 O
0.7643 0.2676 0.2037 O
0.2357 0.7324 0.7963 O
0.2355 0.2356 0.7907 O
0.2641 0.2721 0.1997 O
0.7382 0.2356 0.7907 O
```

---

*B*
Entry from Alexandria via LeMat-Bulk: Li2FeCo3O8 after structural relaxation (GGA-PBEsol).

Properties
The magnetization comes out at 12.364 Bohr magnetons per cell.

Geometry as POSCAR:
```
Li2FeCo3O8
1.0
-6.1843 -2.3705 -4.3807
4.9450 -3.7591 -4.9469
-0.5970 -6.5807 4.4038
Li Fe Co O
8 4 12 32
Direct
0.0027 0.9969 0.9973 Li
0.7472 0.2525 0.2528 Li
0.2472 0.7469 0.2472 Li
0.5029 0.0025 0.5028 Li
0.9972 0.5025 0.4972 Li
0.2528 0.2469 0.7528 Li
0.7528 0.7525 0.7472 Li
0.4973 0.4969 0.0028 Li
0.6249 0.8750 0.1250 Fe
0.1253 0.1253 0.3747 Fe
0.3747 0.6253 0.6253 Fe
0.8750 0.3750 0.8750 Fe
0.3749 0.1236 0.1268 Co
0.1232 0.3737 0.1249 Co
0.8732 0.6253 0.1233 Co
0.3733 0.3753 0.3768 Co
0.6233 0.6271 0.3750 Co
0.8751 0.8770 0.3734 Co
0.6249 0.3771 0.6267 Co
0.8767 0.1271 0.6250 Co
0.1267 0.8753 0.6232 Co
0.6268 0.1253 0.8767 Co
0.3768 0.8736 0.8751 Co
0.1250 0.6236 0.8732 Co
0.6116 0.1098 0.1134 O
0.3900 0.8865 0.1117 O
0.1087 0.6088 0.1087 O
0.1382 0.1365 0.1399 O
0.8865 0.3883 0.1099 O
0.3587 0.3588 0.1412 O
0.6365 0.6398 0.1383 O
0.8599 0.8615 0.1366 O
0.3602 0.1382 0.3635 O
0.1366 0.3599 0.3616 O
0.8588 0.6412 0.3588 O
0.3866 0.6116 0.3902 O
0.6384 0.8634 0.3600 O
0.6088 0.3912 0.3912 O
0.8902 0.1133 0.3884 O
0.1117 0.8900 0.3866 O
0.3883 0.3900 0.6134 O
0.6098 0.6134 0.6116 O
0.8912 0.8912 0.6088 O
0.8616 0.3635 0.6400 O
0.1133 0.1116 0.6098 O
0.6412 0.1412 0.6412 O
0.3635 0.8599 0.6384 O
0.1398 0.6382 0.6365 O
0.6401 0.3616 0.8634 O
0.8635 0.1398 0.8617 O
0.1413 0.8588 0.8588 O
0.6135 0.8883 0.8900 O
0.3617 0.6365 0.8601 O
0.3913 0.1088 0.8912 O
0.1100 0.3865 0.8883 O
0.8884 0.6098 0.8866 O
```

---

Of them, the most stable is *B* and the least stable is *A*.

---

*A*
Entry from Alexandria via LeMat-Bulk: MgFeCo after structural relaxation (GGA-PBEsol).

Properties
The magnetization comes out at 3.526 Bohr magnetons per cell.

Geometry as POSCAR:
```
MgFeCo
1.0
2.6650 0.0000 0.0000
-1.3325 2.3079 0.0000
0.0000 0.0000 6.2699
Co Fe Mg
1 1 1
Direct
0.0000 0.0000 0.9818 Co
0.3333 0.6667 0.6900 Fe
0.6667 0.3333 0.3282 Mg
```

---

*B*
Entry from Alexandria via LeMat-Bulk: MgFeCo after structural relaxation (GGA-PBEsol).

Properties
The magnetization comes out at 3.852 Bohr magnetons per cell.

Geometry as POSCAR:
```
MgFeCo
1.0
2.5926 0.0261 0.0000
-0.8199 2.4596 0.0000
-0.8863 -1.2428 6.0748
Co Fe Mg
1 1 1
Direct
0.0099 0.0099 0.0198 Co
0.6545 0.6545 0.3091 Fe
0.3356 0.3356 0.6712 Mg
```

---

Of them, the most stable is *B* and the least stable is *A*.

---

*A*
Entry from Alexandria via LeMat-Bulk: MnFeCo2 after structural relaxation (GGA-PBEsol).

Properties
The magnetization comes out at 2.693 Bohr magnetons per cell.

Geometry as POSCAR:
```
MnFeCo2
1.0
-0.8262 1.9154 1.2382
-0.0043 -1.3183 2.0364
6.5285 1.9790 1.2949
Co Fe Mn
2 1 1
Direct
0.0000 0.0000 0.9991 Co
0.5000 0.5000 0.2477 Co
0.0000 0.0000 0.5021 Fe
0.5000 0.5000 0.7512 Mn
```

---

*B*
Entry from Alexandria via LeMat-Bulk: MnFeCo2 after structural relaxation (GGA-PBEsol).

Properties
The magnetization comes out at 1.484 Bohr magnetons per cell.

Geometry as POSCAR:
```
MnFeCo2
1.0
3.4584 0.0004 -0.0246
0.0004 3.4584 -0.0246
-1.7045 -1.7045 3.5046
Mn Co Fe
1 2 1
Direct
0.2500 0.7500 0.5000 Mn
0.0000 0.0000 0.0000 Co
0.7500 0.2500 0.5000 Co
0.5000 0.5000 0.0000 Fe
```

---

*C*
Entry from Alexandria via LeMat-Bulk: MnFeCo2 after structural relaxation (GGA-PBEsol).

Properties
The magnetization comes out at 0.764 Bohr magnetons per cell.

Geometry as POSCAR:
```
MnFeCo2
1.0
3.4965 0.0000 0.0000
0.0000 3.4965 0.0000
0.0000 0.0000 3.4102
Co Fe Mn
2 1 1
Direct
0.0000 0.5000 0.0000 Co
0.5000 0.0000 0.0000 Co
0.5000 0.5000 0.5000 Fe
0.0000 0.0000 0.5000 Mn
```

---

Of them, the most stable is *C* and the least stable is *A*.

---

*A*
Entry from Alexandria via LeMat-Bulk: FeCo2Ni after structural relaxation (GGA-PBEsol).

Properties
The magnetization comes out at 6.295 Bohr magnetons per cell.

Geometry as POSCAR:
```
FeCo2Ni
1.0
3.4707 0.0000 0.0000
0.0000 3.4707 0.0000
0.0000 0.0000 3.4983
Ni Co Fe
1 2 1
Direct
0.0000 0.0000 0.5000 Ni
0.0000 0.5000 0.0000 Co
0.5000 0.0000 0.0000 Co
0.5000 0.5000 0.5000 Fe
```

---

*B*
Entry from Alexandria via LeMat-Bulk: FeCo2Ni after structural relaxation (GGA-PBEsol).

Properties
The magnetization comes out at 6.334 Bohr magnetons per cell.

Geometry as POSCAR:
```
FeCo2Ni
1.0
2.4436 0.0000 0.2457
0.0000 3.4733 0.0000
-0.4955 0.0000 4.9273
Ni Co Fe
1 2 1
Direct
0.5000 0.5000 0.5000 Ni
0.0002 0.0000 0.7476 Co
0.9998 0.0000 0.2524 Co
0.5000 0.5000 0.0000 Fe
```

---

Of them, the most stable is *A* and the least stable is *B*.

---

*A*
Entry from Alexandria via LeMat-Bulk: FeCo2Ni after structural relaxation (GGA-PBEsol).

Properties
The magnetization comes out at 6.311 Bohr magnetons per cell.

Geometry as POSCAR:
```
FeCo2Ni
1.0
-0.3833 2.4041 -0.2131
-1.0618 0.0263 2.2009
6.2716 1.2667 3.0104
Ni Co Fe
1 2 1
Direct
0.5000 0.5000 0.0000 Ni
0.0000 0.0000 0.2461 Co
0.0000 0.0000 0.7539 Co
0.5000 0.5000 0.5000 Fe
```

---

*B*
Entry from Alexandria via LeMat-Bulk: FeCo2Ni after structural relaxation (GGA-PBEsol).

Properties
The magnetization comes out at 6.359 Bohr magnetons per cell.

Geometry as POSCAR:
```
FeCo2Ni
1.0
2.4603 0.0000 0.0352
0.0000 3.4751 0.0000
-0.0707 0.0000 4.9392
Ni Co Fe
1 2 1
Direct
0.4999 0.5000 0.7515 Ni
0.0001 0.0000 0.0059 Co
0.5001 0.5000 0.2422 Co
0.9998 0.0000 0.5004 Fe
```

---

Of them, the most stable is *B* and the least stable is *A*.

---

*A*
Entry from Alexandria via LeMat-Bulk: FeCoPt after structural relaxation (GGA-PBEsol).

Properties
The magnetization comes out at 4.619 Bohr magnetons per cell.

Geometry as POSCAR:
```
FeCoPt
1.0
2.6436 0.0000 0.0000
-1.3218 2.2894 0.0000
0.0000 0.0000 6.2146
Co Fe Pt
1 1 1
Direct
0.0000 0.0000 0.9835 Co
0.3333 0.6667 0.6825 Fe
0.6667 0.3333 0.3340 Pt
```

---

*B*
Entry from Alexandria via LeMat-Bulk: FeCoPt after structural relaxation (GGA-PBEsol).

Properties
The magnetization comes out at 4.846 Bohr magnetons per cell.

Geometry as POSCAR:
```
FeCoPt
1.0
-1.5538 -3.2736 -1.5186
1.6098 -1.6446 -3.1845
1.9209 -3.4134 0.3101
Co Fe Pt
1 1 1
Direct
0.5000 0.5000 0.5000 Co
0.2500 0.2500 0.2500 Fe
0.0000 0.0000 0.0000 Pt
```

---

*C*
Entry from Alexandria via LeMat-Bulk: FeCoPt after structural relaxation (GGA-PBEsol).

Properties
The magnetization comes out at 4.668 Bohr magnetons per cell.

Geometry as POSCAR:
```
FeCoPt
1.0
2.6530 0.0000 0.0000
0.0000 2.6530 0.0000
-1.3265 -1.3265 5.2762
Co Fe Pt
1 1 1
Direct
0.0086 0.0086 0.0171 Co
0.6572 0.6572 0.3143 Fe
0.3343 0.3343 0.6686 Pt
```

---

Of them, the most stable is *C* and the least stable is *B*.